(A)
Here is La2TlCdRh after structural relaxation from Alexandria. Energies are from PBE.

Values from the calculation:
Density of states at the Fermi level (states/eV/f.u.): 3.6
Crystal system: tetragonal
Size of the total moment (μB per formula unit): 0.00

a b c (Å): 5.4255 5.4255 5.2736
angles (deg): 90.00 90.00 90.00
Last column: nearest neighbours and their distance in Å.
Space group P4/mmm (No. 123)
Inequivalent atoms, fractional coordinates:
La  0.0000  0.5000  0.0000  2 Rh 2.71
Tl  0.0000  0.0000  0.5000  8 La 3.78, 4 Cd 3.84
Cd  0.5000  0.5000  0.5000  2 Rh 2.64
Rh  0.5000  0.5000  0.0000  2 Cd 2.64, 4 La 2.71

---

(B)
Here is La2TlCdRh after structural relaxation from Alexandria. Energies are from PBE.

Values from the calculation:
Density of states at the Fermi level (states/eV/f.u.): 5.2
Crystal system: tetragonal
Size of the total moment (μB per formula unit): 0.00

a b c (Å): 5.4591 5.4591 5.2934
angles (deg): 90.00 90.00 90.00
Last column: nearest neighbours and their distance in Å.
Space group P4/mmm (No. 123)
Inequivalent atoms, fractional coordinates:
La  0.0000  0.5000  0.0000  2 Rh 2.73
Tl  0.0000  0.0000  0.5000  2 Rh 2.65
Cd  0.5000  0.5000  0.5000  8 La 3.80, 4 Tl 3.86
Rh  0.0000  0.0000  0.0000  2 Tl 2.65, 4 La 2.73

---

(C)
Here is La2TlCdRh after structural relaxation from Alexandria. Energies are from PBE.

Values from the calculation:
Density of states at the Fermi level (states/eV/f.u.): 3.4
Crystal system: monoclinic
Size of the total moment (μB per formula unit): 0.00

a b c (Å): 8.4852 4.1259 8.5345
angles (deg): 90.00 110.70 90.00
Last column: nearest neighbours and their distance in Å.
Space group P2_1/m (No. 11)
Inequivalent atoms, fractional coordinates:
La  0.0058  0.2500  0.2167  2 Rh 2.86
La  0.3370  0.7500  0.6046  2 Rh 2.87
Tl  0.3168  0.7500  0.1938  3 Cd 3.10-3.37, 3 La 3.41-3.45
Cd  0.3527  0.2500  0.9374  1 Rh 2.80, 2 Tl 3.10, 2 Cd 3.12
Rh  0.1062  0.2500  0.6161  1 Cd 2.80, 4 La 2.86-2.87, 2 Rh 2.98

---

Quick one: most stable of them? (C)